Record 1
Entry from the Alexandria database: a geometry-optimized CrIn4W structure (PBE).

Cell: 5.655 5.655 5.655 Å, 60.00 60.00 60.00°
Fractional coordinates of all 6 atoms:
Cr 0.000 0.000 0.000
In 0.125 0.625 0.625
In 0.625 0.125 0.625
In 0.625 0.625 0.125
In 0.625 0.625 0.625
W 0.250 0.250 0.250

Summary:
As for the energy relative to the elements: 0.992 eV per atom. The space-group type is No. 216. For the density of states at the Fermi level, the calculation gives 4.5 states/eV per cell. The calculation puts the energy at -4.596 eV/atom. As for the total magnetic moment: 4.01 Bohr magnetons per cell. The calculation puts the theoretical density at 9.0 g/cm3.


Record 2
Entry from the Alexandria database: a geometry-optimized Cr2InW structure (PBE).

Cell: 3.143 3.143 6.217 Å, 90.00 90.00 90.00°
Fractional coordinates of all 4 atoms:
Cr 0.000 0.000 0.000
Cr 0.500 0.500 0.183
In 0.000 0.000 0.471
W 0.500 0.500 0.789

Summary:
As for the energy relative to the elements: 0.406 eV per atom. The space-group type is No. 99. For the density of states at the Fermi level, the calculation gives 2.6 states/eV per cell. The calculation puts the energy at -8.329 eV/atom. As for the total magnetic moment: 0.00 Bohr magnetons per cell. The calculation puts the theoretical density at 10.9 g/cm3.


Record 3
Entry from the Alexandria database: a geometry-optimized CrIn2W structure (PBE).

Cell: 10.321 3.135 4.848 Å, 90.00 110.70 90.00°
Fractional coordinates of all 8 atoms:
Cr 0.000 0.000 0.000
Cr 0.500 0.500 0.000
In 0.043 0.500 0.539
In 0.260 0.500 0.227
In 0.543 0.000 0.539
In 0.760 0.000 0.227
W 0.314 0.000 0.775
W 0.814 0.500 0.775

Summary:
As for the energy relative to the elements: 0.531 eV per atom. The space-group type is No. 8. For the density of states at the Fermi level, the calculation gives 6.3 states/eV per cell. The calculation puts the energy at -6.482 eV/atom. As for the total magnetic moment: 1.64 Bohr magnetons per cell. The calculation puts the theoretical density at 10.5 g/cm3. The value obtained for the energy above the most stable polymorph in this dataset is 77 kJ/mol of formula units.


Record 4
Entry from the Alexandria database: a geometry-optimized CrIn2W structure (PBE).

Cell: 6.534 6.534 6.534 Å, 90.00 90.00 90.00°
Fractional coordinates of all 16 atoms:
Cr 0.000 0.000 0.000
Cr 0.000 0.500 0.500
Cr 0.500 0.000 0.500
Cr 0.500 0.500 0.000
In 0.250 0.250 0.250
In 0.250 0.250 0.750
In 0.250 0.750 0.250
In 0.250 0.750 0.750
In 0.750 0.250 0.250
In 0.750 0.250 0.750
In 0.750 0.750 0.250
In 0.750 0.750 0.750
W 0.000 0.000 0.500
W 0.000 0.500 0.000
W 0.500 0.000 0.000
W 0.500 0.500 0.500

Summary:
As for the energy relative to the elements: 0.877 eV per atom. The space-group type is No. 225. For the density of states at the Fermi level, the calculation gives 23.1 states/eV per cell. The calculation puts the energy at -6.137 eV/atom. As for the total magnetic moment: 0.02 Bohr magnetons per cell. The calculation puts the theoretical density at 11.1 g/cm3. The value obtained for the energy above the most stable polymorph in this dataset is 210 kJ/mol of formula units.